(1)
Below is a relaxed HfZnIrPd crystal, with properties calculated at the PBE-GGA level.

Summary:
Total DFT energy (no corrections) ... -7.047 eV/atom
Magnetization ... 0.00 μB/cell
DOS(E_F) ... 1.5 states/eV/f.u.
E_form ... -0.727 eV per atom

```
8
Lattice="4.205 0.000 0.000 0.000 4.205 0.000 0.000 0.000 7.224" Properties=species:S:1:pos:R:3 pbc="T T T"
Hf 0.000 0.000 0.000
Hf 2.102 2.102 3.612
Zn 0.000 0.000 3.612
Zn 2.102 2.102 0.000
Ir 0.000 2.102 1.806
Ir 2.102 0.000 5.418
Pd 0.000 2.102 5.418
Pd 2.102 0.000 1.806
```

***

(2)
Below is a relaxed Sr3Cd3In8 crystal, with properties calculated at the PBE-GGA level.

Summary:
Total DFT energy (no corrections) ... -2.435 eV/atom
Magnetization ... 0.00 μB/cell
DOS(E_F) ... 3.2 states/eV/f.u.
E_form ... -0.313 eV per atom

```
14
Lattice="-2.491 5.455 7.199 2.491 -5.455 7.199 2.491 5.455 -7.199" Properties=species:S:1:pos:R:3 pbc="T T T"
Sr 0.000 0.000 0.000
Sr 0.000 0.000 4.248
Sr 0.000 0.000 10.149
Cd 2.491 3.610 0.000
Cd 0.000 5.455 0.000
Cd 0.000 1.846 7.199
In 2.491 -1.472 2.161
In 2.491 -2.331 5.114
In 2.491 1.472 2.161
In 0.000 3.124 2.085
In 2.491 2.331 5.114
In 0.000 3.983 5.038
In 0.000 7.786 2.085
In 0.000 6.928 5.038
```

***

(3)
Below is a relaxed TbSc2Ti crystal, with properties calculated at the PBE-GGA level.

Summary:
Total DFT energy (no corrections) ... -6.151 eV/atom
Magnetization ... 0.00 μB/cell
DOS(E_F) ... 5.5 states/eV/f.u.
E_form ... 0.146 eV per atom
Polymorph energy (0 for the lowest one) ... 5 meV/atom

```
12
Lattice="3.245 0.000 0.000 -1.623 2.811 0.000 0.000 0.000 31.564" Properties=species:S:1:pos:R:3 pbc="T T T"
Tb 0.000 0.000 0.000
Tb 0.000 1.874 21.043
Tb 1.623 0.937 10.521
Sc 0.000 0.000 7.631
Sc 0.000 0.000 23.933
Sc 0.000 1.874 13.412
Sc 0.000 1.874 28.674
Sc 1.623 0.937 2.891
Sc 1.623 0.937 18.152
Ti 0.000 0.000 15.782
Ti 0.000 1.874 5.261
Ti 1.623 0.937 26.303
```

***

(4)
Below is a relaxed AcTb2DyHo crystal, with properties calculated at the PBE-GGA level.

Summary:
Total DFT energy (no corrections) ... -4.466 eV/atom
Magnetization ... 0.00 μB/cell
DOS(E_F) ... 8.8 states/eV/f.u.
E_form ... 0.044 eV per atom

```
10
Lattice="6.364 0.000 0.000 0.000 5.821 0.000 -3.154 0.000 9.242" Properties=species:S:1:pos:R:3 pbc="T T T"
Ac 0.537 1.455 0.989
Ac 2.673 4.365 8.253
Tb -0.515 4.365 6.431
Tb 0.565 1.455 4.658
Tb 2.645 4.365 4.584
Tb 3.724 1.455 2.811
Dy -0.545 4.365 2.882
Dy 3.755 1.455 6.359
Ho 2.716 4.365 0.984
Ho 0.494 1.455 8.258
```